# 1
Tb6DyCo2 | PBE-GGA | relaxed

Properties
Calculated total energy   -46.96 eV/f.u.

The structure in extended XYZ format:
```
18
Lattice="-4.7189 4.9954 5.0659 4.7189 -4.9954 5.0659 4.7189 4.9954 -5.0659" Properties=species:S:1:pos:R:3 pbc="T T T"
Tb 4.7189 2.7826 -2.7905
Tb 2.7894 0.0000 1.9475
Tb 6.6484 0.0000 1.9475
Tb 2.8530 3.0568 0.0000
Tb 1.8659 -1.9386 5.0659
Tb 0.0000 2.2129 2.2754
Tb 4.7189 2.7826 2.7905
Tb 2.8530 6.9341 0.0000
Tb 1.8659 1.9386 5.0659
Tb -1.9295 4.9954 3.1184
Tb 1.9295 4.9954 3.1184
Tb 0.0000 2.2129 7.8564
Dy 0.0000 0.0000 0.0000
Dy 0.0000 4.9954 0.0000
Co 4.7189 1.1011 0.0000
Co 0.0000 0.0000 3.8784
Co 0.0000 0.0000 6.2535
Co 0.0000 3.8943 5.0659
```

***

# 2
TbDyCo | PBE-GGA | relaxed

Properties
E above lowest polymorph   0.0711 eV/atom

The structure in extended XYZ format:
```
3
Lattice="3.8791 0.0000 0.0000 -1.9396 3.3594 0.0000 0.0000 0.0000 6.1598" Properties=species:S:1:pos:R:3 pbc="T T T"
Tb 0.0000 0.0000 0.0000
Dy 1.9396 1.1198 3.2970
Co 0.0000 2.2396 4.7230
```

***

# 3
TbDy2Co | PBE-GGA | relaxed

Properties
E above lowest polymorph   0.0000 eV/atom

The structure in extended XYZ format:
```
16
Lattice="6.9403 0.0000 0.0000 0.0000 9.4439 0.0000 0.0000 0.0000 6.2389" Properties=species:S:1:pos:R:3 pbc="T T T"
Tb 0.2976 2.3610 0.8867
Tb 3.1726 7.0829 4.0062
Tb 3.7678 2.3610 2.2328
Tb 6.6427 7.0829 5.3522
Dy 1.2060 0.6438 4.2217
Dy 1.2060 4.0781 4.2217
Dy 2.2642 5.3658 1.1023
Dy 2.2642 8.8000 1.1023
Dy 4.6762 0.6438 5.1367
Dy 4.6762 4.0781 5.1367
Dy 5.7344 5.3658 2.0172
Dy 5.7344 8.8000 2.0172
Co 0.7876 7.0829 2.8024
Co 2.6826 2.3610 5.9219
Co 4.2577 7.0829 0.3171
Co 6.1528 2.3610 3.4365
```

***

# 4
Tb6DyCo3 | PBE-GGA | relaxed

Properties
Calculated total energy   -54.07 eV/f.u.

The structure in extended XYZ format:
```
20
Lattice="5.7508 -6.1246 0.0000 5.7508 6.1246 0.0000 0.0000 0.0000 7.2376" Properties=species:S:1:pos:R:3 pbc="T T T"
Tb 2.8835 3.0627 3.6482
Tb 5.7508 5.9725 3.6188
Tb 3.2905 0.0059 1.8074
Tb 3.2905 -0.0059 5.4262
Tb 5.7508 2.0590 5.4237
Tb 8.6181 3.0627 3.6482
Tb 2.8835 -3.0627 0.0294
Tb 5.7508 -2.0590 1.8049
Tb 8.2112 0.0059 1.8074
Tb 8.2112 -0.0059 5.4262
Tb 5.7508 -5.9725 0.0000
Tb 8.6181 -3.0627 0.0294
Dy 5.7508 2.2643 1.8025
Dy 5.7508 -2.2643 5.4213
Co 4.4904 4.4223 5.5115
Co 7.0112 4.4223 5.5115
Co 5.7508 0.0122 3.6151
Co 5.7508 -0.0122 7.2339
Co 4.4904 -4.4223 1.8927
Co 7.0112 -4.4223 1.8927
```

***

| no. | DOS at the Fermi energy (states/eV per cell) |
| --- | --- |
| 1 | 20.716 |
| 2 | 2.635 |
| 3 | 19.042 |
| 4 | 20.273 |